No. 1
5
Lattice="-4.238 -1.784 0.111 0.151 -0.642 -4.552 1.781 -4.191 0.650" Properties=species:S:1:pos:R:3 comment="LaAlCo3 PBE relaxed" ef_mev_per_atom=1463.6 space_group="No. 221" pbc="T T T"
La 0.000 0.000 0.000
Co 0.075 -0.321 -2.276
Co -2.119 -0.892 0.056
Co 0.890 -2.095 0.325
Al -1.153 -3.308 -1.895



No. 2
4
Lattice="-2.528 -2.127 -0.185 1.484 -1.445 -3.663 2.274 -2.882 2.058" Properties=species:S:1:pos:R:3 comment="Ti2AlFe PBE relaxed" ef_mev_per_atom=-291.4 space_group="No. 123" pbc="T T T"
Fe 0.615 -3.227 -0.895
Ti 0.742 -0.723 -1.832
Ti 1.137 -1.441 1.029
Al -1.264 -1.063 -0.093



No. 3
5
Lattice="4.736 0.000 0.000 0.000 4.736 0.000 0.000 0.000 4.736" Properties=species:S:1:pos:R:3 comment="NbCdIr3 PBE relaxed" ef_mev_per_atom=2149.6 space_group="No. 221" pbc="T T T"
Ir 0.000 0.000 2.368
Ir 0.000 2.368 0.000
Ir 2.368 0.000 0.000
Nb 2.368 2.368 2.368
Cd 0.000 0.000 0.000



No. 4
5
Lattice="-2.273 -3.202 2.304 -2.013 -1.345 -3.856 3.648 -3.166 -0.800" Properties=species:S:1:pos:R:3 comment="SrCdOF2 PBE relaxed" raw_formation_energy_ev_per_atom=-1.875 space_group="No. 123" pbc="T T T"
O 1.824 -1.583 -0.400
F -1.007 -0.673 -1.928
F -1.137 -1.601 1.152
Sr 0.000 0.000 0.000
Cd -0.319 -3.857 -1.176



No. 5
4
Lattice="-1.328 1.524 4.420 -4.330 -1.267 1.808 -0.265 -3.161 3.682" Properties=species:S:1:pos:R:3 comment="YAg2Mo PBE relaxed" ef_mev_per_atom=419.2 space_group="No. 216" pbc="T T T"
Ag -1.481 -0.726 2.477
Ag 0.000 0.000 0.000
Mo -2.962 -1.452 4.955
Y -4.443 -2.179 7.432



No. 6
4
Lattice="5.171 -0.001 0.000 2.050 4.747 0.000 -3.610 -2.373 2.841" Properties=species:S:1:pos:R:3 comment="CaIr2Se PBE relaxed" raw_formation_energy_ev_per_atom=0.119 space_group="No. 119" pbc="T T T"
Ca 2.585 0.000 1.420
Se 3.610 2.373 0.000
Ir 1.025 2.374 1.420
Ir 0.000 0.000 0.000



No. 7
4
Lattice="4.133 0.000 0.000 2.067 3.579 0.000 2.067 1.193 10.250" Properties=species:S:1:pos:R:3 comment="AcPr2Te PBE relaxed" raw_formation_energy_ev_per_atom=-0.604 space_group="No. 160" pbc="T T T"
Te 6.200 3.579 10.244
Ac 4.133 2.386 5.136
Pr 2.067 1.193 2.079
Pr 2.067 1.193 8.165



No. 8
4
Lattice="3.220 0.000 0.000 0.000 3.220 0.000 0.000 0.000 6.861" Properties=species:S:1:pos:R:3 comment="MnAuSe2 PBE relaxed" raw_formation_energy_ev_per_atom=0.146 space_group="No. 123" pbc="T T T"
Mn 1.610 1.610 5.146
Se 0.000 0.000 3.693
Se 0.000 0.000 6.598
Au 1.610 1.610 1.715



No. 9
12
Lattice="-0.378 -3.289 -0.392 5.487 -0.333 -2.492 4.856 -1.863 10.941" Properties=species:S:1:pos:R:3 comment="TaSe PBE relaxed" raw_formation_energy_ev_per_atom=-0.468 space_group="No. 59" pbc="T T T"
Ta 6.325 -1.168 3.701
Ta 1.402 -1.741 -0.919
Ta 9.667 -1.951 7.047
Ta 2.915 -2.821 6.676
Ta 6.074 -0.572 -1.049
Ta 1.653 -2.336 3.831
Se 3.501 -0.212 -1.590
Se 5.215 -3.208 7.708
Se 2.419 -2.135 1.407
Se 7.367 -1.564 6.015
Se 4.226 -2.696 4.372
Se 5.307 -0.773 1.375



No. 10
4
Lattice="3.934 -0.646 1.294 0.987 0.511 4.041 0.905 -3.333 2.374" Properties=species:S:1:pos:R:3 comment="SnGeH2 PBE relaxed" space_group="No. 225" pbc="T T T"
Ge 0.000 0.000 0.000
H 4.369 -2.601 5.782
H 1.456 -0.867 1.927
Sn 2.913 -1.734 3.855



No. 11
5
Lattice="4.874 0.000 0.000 0.000 4.808 0.000 0.000 0.000 4.874" Properties=species:S:1:pos:R:3 comment="CsBeSiAs2 PBE relaxed" raw_formation_energy_ev_per_atom=0.508 space_group="No. 123" pbc="T T T"
Si 0.000 2.404 0.000
Cs 2.437 2.404 2.437
As 0.000 0.000 2.437
As 2.437 0.000 0.000
Be 0.000 0.000 0.000



No. 12
3
Lattice="-2.122 3.118 2.576 -4.564 -0.010 -0.181 3.273 -3.121 0.641" Properties=species:S:1:pos:R:3 comment="Al2Cu PBE relaxed" ef_mev_per_atom=-28.4 space_group="No. 139" pbc="T T T"
Cu 0.000 0.000 0.000
Al -4.447 2.068 1.593
Al -2.238 1.041 0.802



No. 13
12
Lattice="5.529 1.813 0.000 2.967 9.589 0.000 1.483 4.795 8.708" Properties=species:S:1:pos:R:3 comment="Ac5PrTl6 PBE relaxed" ef_mev_per_atom=-353.6 space_group="No. 12" pbc="T T T"
Ac 4.248 5.701 0.000
Ac 4.248 5.701 5.718
Ac 1.483 4.795 2.847
Ac 2.967 9.589 5.861
Ac 5.732 10.496 2.991
Pr 0.000 0.000 0.000
Tl 6.396 8.490 5.875
Tl 3.583 7.707 2.833
Tl 2.168 2.737 0.000
Tl 5.067 12.502 5.875
Tl 6.329 8.665 0.000
Tl 4.913 3.695 2.833



No. 14
4
Lattice="4.139 0.000 0.000 0.000 4.139 0.000 0.000 0.000 5.981" Properties=species:S:1:pos:R:3 comment="CaTeAu2 PBE relaxed" raw_formation_energy_ev_per_atom=-0.510 space_group="No. 99" pbc="T T T"
Ca 0.000 0.000 3.351
Au 2.069 2.069 0.986
Au 0.000 0.000 0.558
Te 2.069 2.069 4.077



No. 15
8
Lattice="8.081 0.000 0.000 0.000 3.236 3.499 0.000 0.077 13.069" Properties=species:S:1:pos:R:3 comment="BrCl3 PBE relaxed" raw_formation_energy_ev_per_atom=0.038 space_group="No. 11" pbc="T T T"
Br 2.020 0.755 5.997
Br 6.061 2.557 10.571
Cl 6.061 2.435 3.856
Cl 2.020 2.666 13.631
Cl 6.061 0.614 9.471
Cl 6.061 0.646 2.938
Cl 2.020 2.699 7.097
Cl 2.020 0.877 12.712



No. 16
15
Lattice="-3.402 1.966 -5.890 -5.749 -3.548 -2.119 -10.014 6.878 3.824" Properties=species:S:1:pos:R:3 comment="Pm4Nd8Dy3 PBE relaxed" ef_mev_per_atom=125.3 space_group="No. 166" pbc="T T T"
Dy -7.881 1.665 0.852
Dy -5.007 3.439 1.912
Dy -6.708 4.422 -1.033
Nd -4.879 1.417 -0.965
Nd -7.688 -0.432 -2.075
Nd -12.657 2.957 -0.214
Nd -11.477 5.728 -2.109
Nd -9.398 0.556 -5.036
Nd -9.767 4.740 0.851
Nd -14.286 3.879 -3.220
Nd -6.508 2.340 -3.971
Pm 0.000 0.000 0.000
Pm -13.005 6.288 1.099
Pm -6.160 -0.992 -5.284
Pm -9.582 2.648 -2.092



No. 17
9
Lattice="6.377 0.213 0.307 -2.874 5.696 -0.307 -2.874 -2.289 5.225" Properties=species:S:1:pos:R:3 comment="Nd2Sm2CuRh4 PBE relaxed" ef_mev_per_atom=-368.3 space_group="No. 139" pbc="T T T"
Nd 0.314 -0.186 3.996
Nd 0.314 3.806 1.230
Sm -1.755 1.040 1.501
Sm -3.994 2.367 3.417
Rh 1.821 0.996 1.438
Rh -2.874 -0.213 3.787
Rh -2.874 3.621 1.131
Rh -1.192 2.624 3.787
Cu 0.000 0.000 0.000



No. 18
5
Lattice="5.920 0.000 0.000 0.000 5.920 0.000 0.000 0.000 5.288" Properties=species:S:1:pos:R:3 comment="Sr2LaMgNi PBE relaxed" ef_mev_per_atom=-2.3 space_group="No. 123" pbc="T T T"
Sr 2.960 0.000 0.000
Sr 0.000 2.960 0.000
La 0.000 0.000 2.644
Mg 2.960 2.960 2.644
Ni 0.000 0.000 0.000



No. 19
5
Lattice="4.070 0.000 0.000 0.000 4.070 0.000 0.000 0.000 3.931" Properties=species:S:1:pos:R:3 comment="NiMo2PtN PBE relaxed" raw_formation_energy_ev_per_atom=-0.180 space_group="No. 123" pbc="T T T"
Ni 0.000 0.000 1.965
Pt 2.035 2.035 1.965
Mo 2.035 0.000 0.000
Mo 0.000 2.035 0.000
N 0.000 0.000 0.000



No. 20
3
Lattice="3.653 0.000 0.000 -1.826 3.163 0.000 0.000 0.000 6.817" Properties=species:S:1:pos:R:3 comment="SnSbS PBE relaxed" raw_formation_energy_ev_per_atom=-0.011 space_group="No. 156" pbc="T T T"
Sn 0.000 2.109 4.276
Sb 0.000 0.000 6.626
S 1.826 1.054 2.732



No. 21
12
Lattice="5.490 0.002 2.710 -0.862 6.042 1.748 -0.172 0.092 7.268" Properties=species:S:1:pos:R:3 comment="PaCrS4 PBE relaxed" raw_formation_energy_ev_per_atom=-1.040 space_group="No. 15" pbc="T T T"
S 2.391 3.083 8.111
S 1.795 0.033 2.392
S -0.099 3.981 6.474
S 2.661 6.103 9.333
S 0.845 0.960 5.853
S 4.555 2.155 5.252
S 2.066 3.053 3.615
S 3.611 5.176 5.872
Cr 2.228 3.068 5.863
Cr -0.086 0.046 3.634
Pa 0.449 4.624 9.204
Pa 4.007 1.512 2.522



No. 22
7
Lattice="-1.675 1.675 12.387 1.675 -1.675 12.387 1.675 1.675 -12.387" Properties=species:S:1:pos:R:3 comment="Ir3Se4 PBE relaxed" raw_formation_energy_ev_per_atom=0.309 space_group="No. 139" pbc="T T T"
Se 0.000 0.000 4.458
Se 0.000 0.000 13.801
Se 0.000 0.000 20.316
Se 0.000 0.000 10.972
Ir 0.000 0.000 6.976
Ir 0.000 0.000 17.797
Ir 0.000 0.000 0.000



No. 23
4
Lattice="-3.881 0.017 -0.139 -0.010 -4.892 -0.323 -0.177 -0.322 4.888" Properties=species:S:1:pos:R:3 comment="NaGaHg2 PBE relaxed" ef_mev_per_atom=-106.7 space_group="No. 123" pbc="T T T"
Hg -0.088 -0.161 2.444
Hg -0.005 -2.446 -0.161
Na -2.034 -2.598 2.213
Ga -1.940 0.009 -0.069



No. 24
5
Lattice="5.059 0.000 0.000 0.000 5.059 0.000 0.000 0.000 5.106" Properties=species:S:1:pos:R:3 comment="RbMgZn2Pd PBE relaxed" ef_mev_per_atom=-148.0 space_group="No. 123" pbc="T T T"
Mg 0.000 0.000 2.553
Zn 0.000 2.529 0.000
Zn 2.529 0.000 0.000
Rb 2.529 2.529 2.553
Pd 0.000 0.000 0.000



No. 25
5
Lattice="5.561 0.000 0.000 0.000 5.561 0.000 0.000 0.000 5.561" Properties=species:S:1:pos:R:3 comment="CaGa3S PBE relaxed" raw_formation_energy_ev_per_atom=0.858 space_group="No. 221" pbc="T T T"
Ga 2.781 0.000 0.000
Ga 0.000 0.000 2.781
Ga 0.000 2.781 0.000
Ca 0.000 0.000 0.000
S 2.781 2.781 2.781



No. 26
6
Lattice="-1.930 -0.858 2.247 -0.572 -3.340 -3.883 8.417 5.694 9.405" Properties=species:S:1:pos:R:3 comment="TiRuAu PBE relaxed" ef_mev_per_atom=-318.3 space_group="No. 12" pbc="T T T"
Ti 2.565 0.523 2.403
Ti 3.351 0.972 5.366
Ru 0.600 -1.339 2.120
Ru 5.315 2.834 5.648
Au 6.081 2.726 8.381
Au -0.166 -1.231 -0.613



No. 27
3
Lattice="-3.400 -0.800 -2.310 -0.609 -3.765 2.200 -1.858 3.720 1.446" Properties=species:S:1:pos:R:3 comment="PaCuPb PBE relaxed" ef_mev_per_atom=101.4 space_group="No. 156" pbc="T T T"
Pb -0.285 -0.067 -0.194
Cu -2.474 0.983 0.996
Pa -3.108 -1.760 0.533



Number 1: VASP energy -22.7 eV/f.u.. Number 2: VASP energy -29.2 eV/f.u.. Number 3: VASP energy -26.8 eV/f.u.. Number 4: VASP energy -20.7 eV/f.u.. Number 5: VASP energy -21.3 eV/f.u.. Number 6: VASP energy -22.7 eV/f.u.. Number 7: VASP energy -19.2 eV/f.u.. Number 8: VASP energy -18.8 eV/f.u.. Number 9: VASP energy -16.3 eV/f.u.. Number 10: VASP energy -12.6 eV/f.u.. Number 11: VASP energy -16.8 eV/f.u.. Number 12: VASP energy -11.7 eV/f.u.. Number 13: VASP energy -43.8 eV/f.u.. Number 14: VASP energy -13.7 eV/f.u.. Number 15: VASP energy -7.1 eV/f.u.. Number 16: VASP energy -69.1 eV/f.u.. Number 17: VASP energy -55.8 eV/f.u.. Number 18: VASP energy -15.7 eV/f.u.. Number 19: VASP energy -42.7 eV/f.u.. Number 20: VASP energy -12.3 eV/f.u.. Number 21: VASP energy -41.9 eV/f.u.. Number 22: VASP energy -38.4 eV/f.u.. Number 23: VASP energy -5.4 eV/f.u.. Number 24: VASP energy -11.0 eV/f.u.. Number 25: VASP energy -10.9 eV/f.u.. Number 26: VASP energy -21.4 eV/f.u.. Number 27: VASP energy -17.0 eV/f.u..